#a
## Nd2HoMg (PBE)

Data for crystalline Nd2HoMg at its relaxed geometry.

## Properties
Crystal system: trigonal

a b c (Å): 3.5651 3.5651 34.5911
angles (deg): 90.00 90.00 120.00
With the nearest neighbours (Å) after each atom.
Space group R3m (No. 160, hexagonal axes)
Symmetry-distinct sites (fractional):
Nd1 0.0000 0.0000 0.0000 [3 per cell]  3 Mg 3.51, 3 Ho 3.56, 6 Nd 3.57
Nd2 0.0000 0.0000 0.1643 [3 per cell]  3 Mg 3.51, 6 Nd 3.57, 3 Ho 3.59
Ho1 0.0000 0.0000 0.5825 [3 per cell]  6 Nd 3.56-3.59, 6 Ho 3.57
Mg1 0.0000 0.0000 0.4154 [3 per cell]  6 Nd 3.51, 6 Mg 3.57

#b
## Nd2HoMg (PBE)

Data for crystalline Nd2HoMg at its relaxed geometry.

## Properties
Crystal system: trigonal

a b c (Å): 3.5023 3.5023 37.4734
angles (deg): 90.00 90.00 120.00
With the nearest neighbours (Å) after each atom.
Space group R-3m (No. 166, hexagonal axes)
Symmetry-distinct sites (fractional):
Nd1 0.0000 0.0000 0.0894 [6 per cell]  1 Mg 3.35, 6 Nd 3.50, 3 Ho 3.53
Ho1 0.0000 0.0000 0.5000 [3 per cell]  6 Ho 3.50, 6 Nd 3.53
Mg1 0.0000 0.0000 0.0000 [3 per cell]  2 Nd 3.35, 6 Mg 3.50

#c
## Nd2HoMg (PBE)

Data for crystalline Nd2HoMg at its relaxed geometry.

## Properties
Crystal system: tetragonal

a b c (Å): 3.7241 3.7241 9.0516
angles (deg): 90.00 90.00 90.00
With the nearest neighbours (Å) after each atom.
Space group P4/mmm (No. 123)
Symmetry-distinct sites (fractional):
Nd1 0.0000 0.0000 0.2311 [2 per cell]  4 Mg 3.36, 4 Ho 3.59, 4 Nd 3.72
Ho1 0.5000 0.5000 0.5000 [1 per cell]  8 Nd 3.59, 4 Ho 3.72
Mg1 0.5000 0.5000 0.0000 [1 per cell]  8 Nd 3.36, 4 Mg 3.72

Going by the energies, #c is most stable and the next is 6.8 kJ/mol of atoms up.

#a
## Nd6Ho2Mg (PBE)

Data for crystalline Nd6Ho2Mg at its relaxed geometry.

## Properties
Crystal system: tetragonal

a b c (Å): 10.7658 10.7658 5.1446
angles (deg): 90.00 90.00 90.00
With the nearest neighbours (Å) after each atom.
Space group P4_2/mnm (No. 136)
Symmetry-distinct sites (fractional):
Nd1 0.0018 0.3317 0.0000 [8 per cell]  1 Mg 3.57, 3 Ho 3.57-3.60, 8 Nd 3.61-3.63
Nd2 0.1613 0.8387 0.5000 [4 per cell]  2 Mg 3.56, 4 Ho 3.57-3.64, 6 Nd 3.61-3.63
Ho1 0.1699 0.1699 0.5000 [4 per cell]  10 Nd 3.57-3.64, 2 Mg 3.65
Mg1 0.0000 0.0000 0.0000 [2 per cell]  8 Nd 3.56-3.57, 4 Ho 3.65

#b
## Nd6Ho2Mg (PBE)

Data for crystalline Nd6Ho2Mg at its relaxed geometry.

## Properties
Crystal system: orthorhombic

a b c (Å): 6.1514 9.5062 20.2984
angles (deg): 90.00 90.00 90.00
With the nearest neighbours (Å) after each atom.
Space group Ibam (No. 72)
Symmetry-distinct sites (fractional):
Nd1 0.0000 0.0000 0.0805 [8 per cell]  5 Nd 3.27-3.64, 1 Mg 3.44, 4 Ho 3.55-3.59
Nd2 0.0988 0.3250 0.1707 [16 per cell]  2 Mg 3.38-3.54, 6 Nd 3.39-3.64, 1 Ho 3.59
Ho1 0.0526 0.3296 0.5000 [8 per cell]  3 Ho 3.30-3.43, 6 Nd 3.55-3.59
Mg1 0.0000 0.0000 0.2500 [4 per cell]  10 Nd 3.38-3.54

Going by the energies, #a is most stable and the next is 3.7 kJ/mol of atoms up.

#a
## Nd4Ho2Mg (PBE)

Data for crystalline Nd4Ho2Mg at its relaxed geometry.

## Properties
Crystal system: monoclinic

a b c (Å): 5.9821 3.6804 11.0381
angles (deg): 90.00 99.67 90.00
With the nearest neighbours (Å) after each atom.
Space group P2/m (No. 10)
Symmetry-distinct sites (fractional):
Nd1 0.0458 0.0000 0.2056 [2 per cell]  6 Nd 3.53-3.68, 2 Mg 3.65-3.82, 3 Ho 3.78-3.87
Nd2 0.4373 0.5000 0.7494 [2 per cell]  2 Mg 3.29, 3 Ho 3.38-3.46, 6 Nd 3.53-3.68
Ho1 0.0000 0.5000 0.5000 [1 per cell]  6 Nd 3.46-3.78, 6 Ho 3.51-3.68
Ho2 0.5000 0.0000 0.5000 [1 per cell]  4 Nd 3.38, 6 Ho 3.51-3.68
Mg1 0.5000 0.0000 0.0000 [1 per cell]  6 Nd 3.29-3.65, 2 Mg 3.68

#b
## Nd4Ho2Mg (PBE)

Data for crystalline Nd4Ho2Mg at its relaxed geometry.

## Properties
Crystal system: trigonal

a b c (Å): 5.6770 5.6770 24.4097
angles (deg): 90.00 90.00 120.00
With the nearest neighbours (Å) after each atom.
Space group R-3m (No. 166, hexagonal axes)
Symmetry-distinct sites (fractional):
Nd1 0.0000 0.0000 0.0679 [6 per cell]  5 Nd 3.32-3.54, 3 Ho 3.45
Nd2 0.0000 0.0000 0.2109 [6 per cell]  3 Mg 3.45, 4 Nd 3.49-3.54, 1 Ho 3.56
Ho1 0.0000 0.0000 0.3567 [6 per cell]  4 Nd 3.45-3.56, 3 Ho 3.47, 1 Mg 3.50
Mg1 0.0000 0.0000 0.5000 [3 per cell]  6 Nd 3.45, 2 Ho 3.50

Going by the energies, #b is most stable and the next is 3.6 kJ/mol of atoms up.

#a
## Nd2HoMg4 (PBE)

Data for crystalline Nd2HoMg4 at its relaxed geometry.

## Properties
Crystal system: tetragonal

a b c (Å): 5.4535 5.4535 14.6255
angles (deg): 90.00 90.00 90.00
With the nearest neighbours (Å) after each atom.
Space group I4/mmm (No. 139)
Symmetry-distinct sites (fractional):
Nd1 0.0000 0.0000 0.2470 [4 per cell]  8 Mg 3.36-3.41, 1 Ho 3.70
Ho1 0.0000 0.0000 0.5000 [2 per cell]  8 Mg 3.19
Mg1 0.0000 0.5000 0.1128 [8 per cell]  2 Ho 3.19, 1 Mg 3.30, 4 Nd 3.36-3.41

#b
## Nd2HoMg4 (PBE)

Data for crystalline Nd2HoMg4 at its relaxed geometry.

## Properties
Crystal system: tetragonal

a b c (Å): 5.5718 5.5718 16.3654
angles (deg): 90.00 90.00 90.00
With the nearest neighbours (Å) after each atom.
Space group I4/mmm (No. 139)
Symmetry-distinct sites (fractional):
Nd1 0.0000 0.0000 0.1076 [4 per cell]  5 Mg 3.30-3.40, 1 Nd 3.52
Ho1 0.0000 0.0000 0.5000 [2 per cell]  6 Mg 2.79-3.02
Mg1 0.0000 0.0000 0.3154 [4 per cell]  1 Ho 3.02
Mg2 0.0000 0.5000 0.0000 [4 per cell]  2 Ho 2.79

Going by the energies, #a is most stable and the next is 39.8 kJ/mol of atoms up.

#a
## Nd4Ho3Mg (PBE)

Data for crystalline Nd4Ho3Mg at its relaxed geometry.

## Properties
Crystal system: tetragonal

a b c (Å): 3.6382 3.6382 19.5106
angles (deg): 90.00 90.00 90.00
With the nearest neighbours (Å) after each atom.
Space group P4/mmm (No. 123)
Symmetry-distinct sites (fractional):
Nd1 0.0000 0.0000 0.1141 [2 per cell]  4 Mg 3.40, 4 Ho 3.59, 4 Nd 3.64
Nd2 0.0000 0.0000 0.3718 [2 per cell]  8 Ho 3.59-3.61, 4 Nd 3.64
Ho1 0.5000 0.5000 0.2422 [2 per cell]  8 Nd 3.59-3.61, 4 Ho 3.64
Ho2 0.5000 0.5000 0.5000 [1 per cell]  8 Nd 3.59, 4 Ho 3.64
Mg1 0.5000 0.5000 0.0000 [1 per cell]  8 Nd 3.40, 4 Mg 3.64

#b
## Nd4Ho3Mg (PBE)

Data for crystalline Nd4Ho3Mg at its relaxed geometry.

## Properties
Crystal system: monoclinic

a b c (Å): 28.1220 3.6653 5.2516
angles (deg): 90.00 93.13 90.00
With the nearest neighbours (Å) after each atom.
Space group C2/m (No. 12)
Symmetry-distinct sites (fractional):
Nd1 0.0960 0.0000 0.1998 [4 per cell]  1 Mg 3.20, 6 Ho 3.38-3.58, 1 Nd 3.38
Nd2 0.2165 0.0000 0.2473 [4 per cell]  7 Nd 3.38-3.77, 5 Ho 3.63-3.71
Ho1 0.0000 0.5000 0.0000 [2 per cell]  4 Mg 3.20, 4 Nd 3.38
Ho2 0.1524 0.5000 0.7176 [4 per cell]  9 Nd 3.57-3.71, 2 Ho 3.67
Mg1 0.0000 0.0000 0.5000 [2 per cell]  2 Nd 3.20, 4 Ho 3.20

Going by the energies, #a is most stable and the next is 17.8 kJ/mol of atoms up.

#a
## Nd3HoMg4 (PBE)

Data for crystalline Nd3HoMg4 at its relaxed geometry.

## Properties
Crystal system: tetragonal

a b c (Å): 3.8529 3.8529 15.5051
angles (deg): 90.00 90.00 90.00
With the nearest neighbours (Å) after each atom.
Space group P4/mmm (No. 123)
Symmetry-distinct sites (fractional):
Nd1 0.0000 0.0000 0.0000 [1 per cell]  8 Mg 3.37
Nd2 0.0000 0.0000 0.2555 [2 per cell]  8 Mg 3.36-3.37
Ho1 0.0000 0.0000 0.5000 [1 per cell]  8 Mg 3.28
Mg1 0.5000 0.5000 0.1277 [2 per cell]  8 Nd 3.37
Mg2 0.5000 0.5000 0.3827 [2 per cell]  4 Ho 3.28, 4 Nd 3.36, 1 Mg 3.64

#b
## Nd3HoMg4 (PBE)

Data for crystalline Nd3HoMg4 at its relaxed geometry.

## Properties
Crystal system: orthorhombic

a b c (Å): 3.4007 8.4354 17.0125
angles (deg): 90.00 90.00 90.00
With the nearest neighbours (Å) after each atom.
Space group Immm (No. 71)
Symmetry-distinct sites (fractional):
Nd1 0.0000 0.0000 0.0000 [2 per cell]  8 Mg 3.30, 2 Nd 3.40
Nd2 0.0000 0.5000 0.1975 [4 per cell]  6 Mg 3.27-3.28, 2 Nd 3.40
Ho1 0.0000 0.0000 0.5000 [2 per cell]  2 Ho 3.40, 4 Mg 3.46, 4 Nd 3.77
Mg1 0.0000 0.3066 0.3645 [8 per cell]  3 Mg 3.26-3.40, 5 Nd 3.27-3.30, 1 Ho 3.46

Going by the energies, #a is most stable and the next is 23.2 kJ/mol of atoms up.

#a
## PmNdHoMg (PBE)

Data for crystalline PmNdHoMg at its relaxed geometry.

## Properties
Crystal system: cubic

a b c (Å): 7.9083 7.9083 7.9083
angles (deg): 90.00 90.00 90.00
With the nearest neighbours (Å) after each atom.
Space group F-43m (No. 216)
Symmetry-distinct sites (fractional):
Pm1 0.0000 0.0000 0.0000 [4 per cell]  4 Ho 3.42, 4 Mg 3.42
Nd1 0.0000 0.0000 0.5000 [4 per cell]  4 Mg 3.42, 4 Ho 3.42
Ho1 0.2500 0.2500 0.7500 [4 per cell]  4 Nd 3.42, 4 Pm 3.42
Mg1 0.2500 0.2500 0.2500 [4 per cell]  4 Nd 3.42, 4 Pm 3.42

#b
## PmNdHoMg (PBE)

Data for crystalline PmNdHoMg at its relaxed geometry.

## Properties
Crystal system: tetragonal

a b c (Å): 3.6762 3.6762 9.1839
angles (deg): 90.00 90.00 90.00
With the nearest neighbours (Å) after each atom.
Space group P4mm (No. 99)
Symmetry-distinct sites (fractional):
Pm1 0.0000 0.0000 0.0000 [1 per cell]  4 Mg 3.37, 4 Nd 3.64, 4 Pm 3.68
Nd1 0.5000 0.5000 0.2775 [1 per cell]  4 Ho 3.58, 4 Pm 3.64, 4 Nd 3.68
Ho1 0.0000 0.0000 0.5452 [1 per cell]  4 Mg 3.30, 4 Nd 3.58, 4 Ho 3.68
Mg1 0.5000 0.5000 0.7659 [1 per cell]  4 Ho 3.30, 4 Pm 3.37, 4 Mg 3.68

Going by the energies, #b is most stable and the next is 5.0 kJ/mol of atoms up.

#a
## PrNdHoMg (PBE)

Data for crystalline PrNdHoMg at its relaxed geometry.

## Properties
Crystal system: tetragonal

a b c (Å): 3.6949 3.6949 9.2389
angles (deg): 90.00 90.00 90.00
With the nearest neighbours (Å) after each atom.
Space group P4mm (No. 99)
Symmetry-distinct sites (fractional):
Pr1 0.0000 0.0000 0.0000 [1 per cell]  4 Mg 3.42, 4 Nd 3.68, 4 Pr 3.69
Nd1 0.5000 0.5000 0.2801 [1 per cell]  4 Ho 3.58, 4 Pr 3.68, 4 Nd 3.69
Ho1 0.0000 0.0000 0.5442 [1 per cell]  4 Mg 3.30, 4 Nd 3.58
Mg1 0.5000 0.5000 0.7617 [1 per cell]  4 Ho 3.30, 4 Pr 3.42

#b
## PrNdHoMg (PBE)

Data for crystalline PrNdHoMg at its relaxed geometry.

## Properties
Crystal system: cubic

a b c (Å): 7.9482 7.9482 7.9482
angles (deg): 90.00 90.00 90.00
With the nearest neighbours (Å) after each atom.
Space group F-43m (No. 216)
Symmetry-distinct sites (fractional):
Pr1 0.0000 0.0000 0.0000 [4 per cell]  4 Mg 3.44, 4 Ho 3.44
Nd1 0.0000 0.0000 0.5000 [4 per cell]  4 Ho 3.44, 4 Mg 3.44
Ho1 0.2500 0.2500 0.2500 [4 per cell]  4 Pr 3.44, 4 Nd 3.44
Mg1 0.2500 0.2500 0.7500 [4 per cell]  4 Nd 3.44, 4 Pr 3.44

Going by the energies, #a is most stable and the next is 4.6 kJ/mol of atoms up.

#a
## NdHoMgRu (PBE)

Data for crystalline NdHoMgRu at its relaxed geometry.

## Properties
Crystal system: tetragonal

a b c (Å): 3.4377 3.4377 8.5744
angles (deg): 90.00 90.00 90.00
With the nearest neighbours (Å) after each atom.
Space group P4mm (No. 99)
Symmetry-distinct sites (fractional):
Nd1 0.0000 0.0000 0.0000 [1 per cell]  4 Ru 3.02
Ho1 0.0000 0.0000 0.6052 [1 per cell]  4 Ru 2.91
Mg1 0.5000 0.5000 0.3112 [1 per cell]  4 Mg 3.44, 4 Ho 3.50, 4 Nd 3.61
Ru1 0.5000 0.5000 0.7911 [1 per cell]  4 Ho 2.91, 4 Nd 3.02

#b
## NdHoMgRu (PBE)

Data for crystalline NdHoMgRu at its relaxed geometry.

## Properties
Crystal system: cubic

a b c (Å): 7.2017 7.2017 7.2017
angles (deg): 90.00 90.00 90.00
With the nearest neighbours (Å) after each atom.
Space group F-43m (No. 216)
Symmetry-distinct sites (fractional):
Nd1 0.0000 0.0000 0.0000 [4 per cell]  4 Mg 3.12, 4 Ru 3.12
Ho1 0.0000 0.0000 0.5000 [4 per cell]  4 Ru 3.12, 4 Mg 3.12
Mg1 0.2500 0.2500 0.2500 [4 per cell]  4 Ho 3.12, 4 Nd 3.12
Ru1 0.2500 0.2500 0.7500 [4 per cell]  4 Ho 3.12, 4 Nd 3.12

Going by the energies, #a is most stable and the next is 8.6 kJ/mol of atoms up.

#a
## NdYHoMg (PBE)

Data for crystalline NdYHoMg at its relaxed geometry.

## Properties
Crystal system: tetragonal

a b c (Å): 3.6877 3.6877 8.9681
angles (deg): 90.00 90.00 90.00
With the nearest neighbours (Å) after each atom.
Space group P4mm (No. 99)
Symmetry-distinct sites (fractional):
Nd1 0.0000 0.0000 0.0000 [1 per cell]  4 Ho 3.59, 4 Y 3.63, 4 Nd 3.69
Y1 0.5000 0.5000 0.7183 [1 per cell]  4 Mg 3.29, 4 Nd 3.63
Ho1 0.5000 0.5000 0.2751 [1 per cell]  4 Mg 3.27, 4 Nd 3.59
Mg1 0.0000 0.0000 0.4952 [1 per cell]  4 Ho 3.27, 4 Y 3.29

#b
## NdYHoMg (PBE)

Data for crystalline NdYHoMg at its relaxed geometry.

## Properties
Crystal system: cubic

a b c (Å): 7.8638 7.8638 7.8638
angles (deg): 90.00 90.00 90.00
With the nearest neighbours (Å) after each atom.
Space group F-43m (No. 216)
Symmetry-distinct sites (fractional):
Nd1 0.0000 0.0000 0.0000 [4 per cell]  4 Ho 3.41, 4 Mg 3.41
Y1 0.0000 0.0000 0.5000 [4 per cell]  4 Mg 3.41, 4 Ho 3.41
Ho1 0.2500 0.2500 0.7500 [4 per cell]  4 Y 3.41, 4 Nd 3.41
Mg1 0.2500 0.2500 0.2500 [4 per cell]  4 Nd 3.41, 4 Y 3.41

Going by the energies, #a is most stable and the next is 6.0 kJ/mol of atoms up.

#a
## NdHoMgZn (PBE)

Data for crystalline NdHoMgZn at its relaxed geometry.

## Properties
Crystal system: cubic

a b c (Å): 7.4343 7.4343 7.4343
angles (deg): 90.00 90.00 90.00
With the nearest neighbours (Å) after each atom.
Space group F-43m (No. 216)
Symmetry-distinct sites (fractional):
Nd1 0.0000 0.0000 0.0000 [4 per cell]  4 Mg 3.22, 4 Zn 3.22
Ho1 0.0000 0.0000 0.5000 [4 per cell]  4 Mg 3.22, 4 Zn 3.22
Mg1 0.2500 0.2500 0.7500 [4 per cell]  4 Ho 3.22, 4 Nd 3.22
Zn1 0.2500 0.2500 0.2500 [4 per cell]  4 Ho 3.22, 4 Nd 3.22

#b
## NdHoMgZn (PBE)

Data for crystalline NdHoMgZn at its relaxed geometry.

## Properties
Crystal system: tetragonal

a b c (Å): 3.6382 3.6382 7.8402
angles (deg): 90.00 90.00 90.00
With the nearest neighbours (Å) after each atom.
Space group P4mm (No. 99)
Symmetry-distinct sites (fractional):
Nd1 0.0000 0.0000 0.0000 [1 per cell]  4 Zn 3.21, 4 Mg 3.42, 1 Ho 3.52
Ho1 0.0000 0.0000 0.4483 [1 per cell]  4 Zn 3.03, 4 Mg 3.30
Mg1 0.5000 0.5000 0.7125 [1 per cell]  4 Ho 3.30, 4 Nd 3.42, 4 Mg 3.64, 1 Zn 3.67
Zn1 0.5000 0.5000 0.2439 [1 per cell]  4 Ho 3.03, 4 Nd 3.21

Going by the energies, #b is most stable and the next is 3.2 kJ/mol of atoms up.

#a
## Ho4MgNi (PBE)

Data for crystalline Ho4MgNi at its relaxed geometry.

## Properties
Crystal system: cubic

a b c (Å): 13.5480 13.5480 13.5480
angles (deg): 90.00 90.00 90.00
With the nearest neighbours (Å) after each atom.
Space group F-43m (No. 216)
Symmetry-distinct sites (fractional):
Ho1 0.0000 0.0000 0.1849 [24 per cell]  2 Mg 3.27, 2 Ni 3.49, 10 Ho 3.49-3.60
Ho2 0.0623 0.2500 0.7500 [24 per cell]  2 Ni 2.79
Ho3 0.0958 0.0958 0.4042 [16 per cell]  3 Ni 2.77
Mg1 0.1704 0.1704 0.1704 [16 per cell]  3 Mg 3.05, 3 Ho 3.27
Ni1 0.1081 0.1081 0.6081 [16 per cell]  6 Ho 2.77-2.79

#b
## Ho4MgNi (PBE)

Data for crystalline Ho4MgNi at its relaxed geometry.

## Properties
Crystal system: monoclinic

a b c (Å): 8.6478 6.6817 5.9564
angles (deg): 90.00 100.70 90.00
With the nearest neighbours (Å) after each atom.
Space group P2_1/c (No. 14)
Symmetry-distinct sites (fractional):
Ho1 0.1327 0.1286 0.3929 [4 per cell]  2 Ni 2.56-2.86
Ho2 0.2907 0.6009 0.4350 [4 per cell]  1 Ni 2.70
Mg1 0.5000 0.0000 0.5000 [2 per cell]  8 Ho 3.21-3.58
Ni1 0.0000 0.0000 0.0000 [2 per cell]  6 Ho 2.56-2.86

Going by the energies, #a is most stable and the next is 21.7 kJ/mol of atoms up.